Density functional theory data (PBE) for a relaxed AlAg2Bi2 crystal.

CIF file:
```
data_AlAg2Bi2
_symmetry_space_group_name_H-M 'P 4/m b m'
_symmetry_Int_Tables_number 127
_symmetry_space_group_name_Hall '-P 4 2ab'
_cell_length_a 8.7964
_cell_length_b 8.7964
_cell_length_c 3.2725
_cell_angle_alpha 90.00
_cell_angle_beta 90.00
_cell_angle_gamma 90.00
loop_
_atom_site_label
_atom_site_type_symbol
_atom_site_fract_x
_atom_site_fract_y
_atom_site_fract_z
Al1 Al 0.0000 0.0000 0.0000
Ag1 Ag 0.1159 0.3841 0.5000
Bi1 Bi 0.1814 0.6814 0.0000
```

ΔH_f (0 K) = 1.35 eV per formula unit
Magnetization = 0.0 μB/cell
Polymorph energy (0 for the lowest one) = 86 meV/atom